# Ho3ScCd6 PBE optimized geometry
# Final energy = -56.58 eV for the cell shown
# DOS(E_F) = 0.730 states/eV per atom
# Total magnetic moment = 0.00 μB per cell
# ΔE_f = -0.27 eV/atom
data_Ho3ScCd6
_chemical_formula_sum 'Ho6 Sc2 Cd12'
_cell_length_a 9.043
_cell_length_b 5.082
_cell_length_c 10.878
_cell_angle_alpha 90.00
_cell_angle_beta 105.34
_cell_angle_gamma 90.00
_symmetry_space_group_name_H-M 'P 1 21/m 1'
_symmetry_Int_Tables_number 11
loop_
_symmetry_equiv_pos_as_xyz
'x,y,z'
'-x,-y,-z'
'-x,y+1/2,-z'
'x,-y+1/2,z'
loop_
_atom_site_label
_atom_site_type_symbol
_atom_site_fract_x
_atom_site_fract_y
_atom_site_fract_z
Ho1 Ho 0.033 0.250 0.395
Ho2 Ho 0.152 0.750 0.214
Ho3 Ho 0.260 0.250 0.003
Sc1 Sc 0.448 0.250 0.600
Cd1 Cd 0.049 0.750 0.908
Cd2 Cd 0.168 0.250 0.704
Cd3 Cd 0.271 0.750 0.513
Cd4 Cd 0.354 0.750 0.814
Cd5 Cd 0.364 0.250 0.312
Cd6 Cd 0.452 0.750 0.113

# FeCu2As PBE optimized geometry
# Final energy = -41.48 eV for the cell shown
# DOS(E_F) = 0.682 states/eV per atom
# Total magnetic moment = 2.91 μB per cell
# ΔE_f = 0.14 eV/atom
data_FeCu2As
_chemical_formula_sum 'Fe2 Cu4 As2'
_cell_length_a 8.539
_cell_length_b 2.929
_cell_length_c 4.451
_cell_angle_alpha 90.00
_cell_angle_beta 111.53
_cell_angle_gamma 90.00
_symmetry_space_group_name_H-M 'C 1 m 1'
_symmetry_Int_Tables_number 8
loop_
_symmetry_equiv_pos_as_xyz
'x,y,z'
'x,-y,z'
'x+1/2,y+1/2,z'
'x+1/2,-y+1/2,z'
loop_
_atom_site_label
_atom_site_type_symbol
_atom_site_fract_x
_atom_site_fract_y
_atom_site_fract_z
Fe1 Fe 0.000 0.000 0.000
Cu1 Cu 0.016 0.500 0.519
Cu2 Cu 0.265 0.500 0.389
As1 As 0.269 0.000 0.918

# SmSnRh PBE optimized geometry
# Final energy = -50.89 eV for the cell shown
# DOS(E_F) = 0.781 states/eV per atom
# Total magnetic moment = 0.00 μB per cell
# ΔE_f = -0.30 eV/atom
data_SmSnRh
_chemical_formula_sum 'Sm3 Sn3 Rh3'
_cell_length_a 8.5283
_cell_length_b 8.5283
_cell_length_c 3.3203
_cell_angle_alpha 90.00
_cell_angle_beta 90.00
_cell_angle_gamma 120.00
_symmetry_space_group_name_H-M 'P -6 2 m'
_symmetry_Int_Tables_number 189
_symmetry_space_group_name_Hall 'P -6 -2'
loop_
_atom_site_label
_atom_site_type_symbol
_atom_site_fract_x
_atom_site_fract_y
_atom_site_fract_z
Sm1 Sm 0.0000 0.7015 0.0000
Sn1 Sn 0.0000 0.0000 0.5000
Sn2 Sn 0.3333 0.6667 0.0000
Rh1 Rh 0.0000 0.4201 0.5000

# CsHfF3 PBE optimized geometry
# Final energy = -28.38 eV for the cell shown
# DOS(E_F) = 0.808 states/eV per atom
# Total magnetic moment = 1.95 μB per cell
# Formation energy (no corrections) = -2.39 eV/atom
data_CsHfF3
_chemical_formula_sum 'Cs1 Hf1 F3'
_cell_length_a 4.504
_cell_length_b 4.504
_cell_length_c 4.504
_cell_angle_alpha 90.00
_cell_angle_beta 90.00
_cell_angle_gamma 90.00
_symmetry_space_group_name_H-M 'P m -3 m'
_symmetry_Int_Tables_number 221
_symmetry_space_group_name_Hall '-P 4 2 3'
loop_
_atom_site_label
_atom_site_type_symbol
_atom_site_fract_x
_atom_site_fract_y
_atom_site_fract_z
Cs1 Cs 0.000 0.000 0.000
Hf1 Hf 0.500 0.500 0.500
F1 F 0.000 0.500 0.500

# Tc2Rh PBE optimized geometry
# Final energy = -109.81 eV for the cell shown
# DOS(E_F) = 1.329 states/eV per atom
# Total magnetic moment = 0.00 μB per cell
# Polymorph energy (0 for the lowest one) = 329 meV/atom
# ΔE_f = 0.21 eV/atom
data_Tc2Rh
_chemical_formula_sum 'Tc8 Rh4'
_cell_length_a 2.712
_cell_length_b 2.712
_cell_length_c 24.286
_cell_angle_alpha 90.00
_cell_angle_beta 90.00
_cell_angle_gamma 90.00
_symmetry_space_group_name_H-M 'I 41/a m d'
_symmetry_Int_Tables_number 141
loop_
_symmetry_equiv_pos_as_xyz
'x,y,z'
'-x,-y,-z'
'-y+1/4,x+3/4,z+1/4'
'y+1/4,-x+3/4,-z+1/4'
'-x+1/2,-y,z+1/2'
'x+1/2,y,-z+1/2'
'y+1/4,-x+1/4,z+3/4'
'-y+1/4,x+1/4,-z+3/4'
'x,-y,-z'
'-x,y,z'
'-y+1/4,-x+1/4,-z+3/4'
'y+1/4,x+1/4,z+3/4'
'-x+1/2,y,-z+1/2'
'x+1/2,-y,z+1/2'
'y+1/4,x+3/4,-z+1/4'
'-y+1/4,-x+3/4,z+1/4'
'x+1/2,y+1/2,z+1/2'
'-x+1/2,-y+1/2,-z+1/2'
'-y+3/4,x+1/4,z+3/4'
'y+3/4,-x+1/4,-z+3/4'
'-x,-y+1/2,z'
'x,y+1/2,-z'
'y+3/4,-x+3/4,z+1/4'
'-y+3/4,x+3/4,-z+1/4'
'x+1/2,-y+1/2,-z+1/2'
'-x+1/2,y+1/2,z+1/2'
'-y+3/4,-x+3/4,-z+1/4'
'y+3/4,x+3/4,z+1/4'
'-x,y+1/2,-z'
'x,-y+1/2,z'
'y+3/4,x+1/4,-z+3/4'
'-y+3/4,-x+1/4,z+3/4'
loop_
_atom_site_label
_atom_site_type_symbol
_atom_site_fract_x
_atom_site_fract_y
_atom_site_fract_z
Tc1 Tc 0.000 0.250 0.295
Rh1 Rh 0.000 0.250 0.875

# PrCoSi2Ir PBE optimized geometry
# Final energy = -72.07 eV for the cell shown
# DOS(E_F) = 0.392 states/eV per atom
# Total magnetic moment = 0.00 μB per cell
# Formation energy (no corrections) = -0.89 eV/atom
data_PrCoSi2Ir
_chemical_formula_sum 'Pr2 Co2 Si4 Ir2'
_cell_length_a 4.037
_cell_length_b 4.037
_cell_length_c 10.234
_cell_angle_alpha 90.00
_cell_angle_beta 90.00
_cell_angle_gamma 90.00
_symmetry_space_group_name_H-M 'I -4 m 2'
_symmetry_Int_Tables_number 119
_symmetry_space_group_name_Hall 'I -4 -2'
loop_
_atom_site_label
_atom_site_type_symbol
_atom_site_fract_x
_atom_site_fract_y
_atom_site_fract_z
Pr1 Pr 0.000 0.000 0.000
Co1 Co 0.000 0.500 0.250
Si1 Si 0.000 0.000 0.372
Ir1 Ir 0.000 0.500 0.750

# LiZnPt2 PBE optimized geometry
# Final energy = -17.21 eV for the cell shown
# DOS(E_F) = 0.336 states/eV per atom
# Total magnetic moment = 0.00 μB per cell
# ΔE_f = -0.48 eV/atom
data_LiZnPt2
_chemical_formula_sum 'Li1 Zn1 Pt2'
_cell_length_a 2.736
_cell_length_b 3.979
_cell_length_c 5.317
_cell_angle_alpha 90.00
_cell_angle_beta 90.00
_cell_angle_gamma 90.00
_symmetry_space_group_name_H-M 'P m m 2'
_symmetry_Int_Tables_number 25
loop_
_symmetry_equiv_pos_as_xyz
'x,y,z'
'-x,-y,z'
'-x,y,z'
'x,-y,z'
loop_
_atom_site_label
_atom_site_type_symbol
_atom_site_fract_x
_atom_site_fract_y
_atom_site_fract_z
Li1 Li 0.000 0.000 0.000
Zn1 Zn 0.500 0.500 0.728
Pt1 Pt 0.000 0.000 0.505
Pt2 Pt 0.500 0.500 0.214

# ScMnTe2 PBE optimized geometry
# Final energy = -85.08 eV for the cell shown
# DOS(E_F) = 1.414 states/eV per atom
# Total magnetic moment = 15.63 μB per cell
# Formation energy (no corrections) = 0.13 eV/atom
data_ScMnTe2
_chemical_formula_sum 'Sc4 Mn4 Te8'
_cell_length_a 7.214
_cell_length_b 7.214
_cell_length_c 7.214
_cell_angle_alpha 90.00
_cell_angle_beta 90.00
_cell_angle_gamma 90.00
_symmetry_space_group_name_H-M 'F -4 3 m'
_symmetry_Int_Tables_number 216
_symmetry_space_group_name_Hall 'F -4 2 3'
loop_
_atom_site_label
_atom_site_type_symbol
_atom_site_fract_x
_atom_site_fract_y
_atom_site_fract_z
Sc1 Sc 0.000 0.000 0.000
Mn1 Mn 0.250 0.250 0.250
Te1 Te 0.000 0.000 0.500
Te2 Te 0.250 0.250 0.750